No. 1
Computed, not measured: a geometry-optimized Er2CdIn structure at the PBE-GGA level of DFT.

Lattice parameters (Å, degrees): 3.721 3.721 7.400 90.00 90.00 90.00
Space group P4/mmm (No. 123)
Unique sites:
Er1 0.000 0.000 0.247
Cd1 0.500 0.500 0.000
In1 0.500 0.500 0.500

Computed properties:
Its electronic total energy is -0.132 Ha/atom.

***

No. 2
Computed, not measured: a geometry-optimized Er3Mg3Cd2In structure at the PBE-GGA level of DFT.

Lattice parameters (Å, degrees): 7.4968 7.4968 4.5824 90.00 90.00 120.00
Space group P-62m (No. 189)
Unique sites:
Er1 0.0000 0.5732 0.0000
Mg1 0.0000 0.2441 0.5000
Cd1 0.3333 0.6667 0.5000
In1 0.0000 0.0000 0.0000

Computed properties:
Its electronic total energy is -0.103 Ha/atom.

***

No. 3
Computed, not measured: a geometry-optimized NdEr2Mg3CdIn2 structure at the PBE-GGA level of DFT.

Lattice parameters (Å, degrees): 4.664 13.207 7.473 90.00 90.00 90.00
Space group Amm2 (No. 38)
Unique sites:
Nd1 0.000 0.000 0.000
Er1 0.000 0.213 0.638
Mg1 0.500 0.000 0.669
Mg2 0.500 0.119 0.308
Cd1 0.000 0.000 0.437
In1 0.500 0.170 0.925

Computed properties:
Its electronic total energy is -0.115 Ha/atom.

***

No. 4
Computed, not measured: a geometry-optimized SmEr2Mg3CdIn2 structure at the PBE-GGA level of DFT.

Lattice parameters (Å, degrees): 4.649 13.161 7.452 90.00 90.00 90.00
Space group Amm2 (No. 38)
Unique sites:
Sm1 0.000 0.000 0.000
Er1 0.000 0.213 0.362
Mg1 0.500 0.000 0.331
Mg2 0.500 0.119 0.692
Cd1 0.000 0.000 0.563
In1 0.500 0.170 0.075

Computed properties:
Its electronic total energy is -0.115 Ha/atom.

***

No. 5
Computed, not measured: a geometry-optimized ErTm2Mg3CdIn2 structure at the PBE-GGA level of DFT.

Lattice parameters (Å, degrees): 4.563 12.998 7.499 90.00 90.00 90.00
Space group Amm2 (No. 38)
Unique sites:
Er1 0.000 0.000 0.000
Tm1 0.000 0.213 0.640
Mg1 0.500 0.000 0.668
Mg2 0.500 0.121 0.306
Cd1 0.000 0.000 0.427
In1 0.500 0.167 0.927

Computed properties:
Its electronic total energy is -0.113 Ha/atom.

***

No. 6
Computed, not measured: a geometry-optimized Y2ErMg3CdIn2 structure at the PBE-GGA level of DFT.

Lattice parameters (Å, degrees): 4.618 13.006 7.549 90.00 90.00 90.00
Space group Amm2 (No. 38)
Unique sites:
Y1 0.000 0.214 0.000
Er1 0.000 0.000 0.642
Mg1 0.500 0.000 0.974
Mg2 0.500 0.120 0.335
Cd1 0.000 0.000 0.217
In1 0.500 0.166 0.714

Computed properties:
Its electronic total energy is -0.130 Ha/atom.